First-principles (PBE-GGA) data for crystalline NaSrTh at its relaxed geometry, as listed in OQMD via LeMat-Bulk.

Properties
As for the crystal system: cubic. Its density is 4.57 g/cm³. Its space group is F-43m. As for the total energy: -6.540 eV for the cell shown. For the size of the total moment, the calculation gives 0.00 μB per atom.

```
3
Lattice="0.0000 3.9637 3.9637 3.9637 0.0000 3.9637 3.9637 3.9637 0.0000" Properties=species:S:1:pos:R:3 pbc="T T T"
Na 0.0000 0.0000 0.0000
Sr 5.9456 5.9456 5.9456
Th 3.9637 3.9637 3.9637
```


First-principles (PBE-GGA) data for crystalline NaSrU at its relaxed geometry, as listed in OQMD via LeMat-Bulk.

Properties
As for the crystal system: cubic. Its density is 4.72 g/cm³. Its space group is F-43m. The relative energy among the computed polymorphs is 0.000 eV per atom. For the size of the total moment, the calculation gives 1.50 μB per atom.

```
3
Lattice="0.0000 3.9425 3.9425 3.9425 0.0000 3.9425 3.9425 3.9425 0.0000" Properties=species:S:1:pos:R:3 pbc="T T T"
Na 0.0000 0.0000 0.0000
Sr 5.9137 5.9137 5.9137
U 1.9712 1.9712 1.9712
```


First-principles (PBE-GGA) data for crystalline NaSrZn at its relaxed geometry, as listed in OQMD via LeMat-Bulk.

Properties
As for the crystal system: cubic. Its density is 2.66 g/cm³. Its space group is F-43m. As for the total energy: -3.337 eV for the cell shown.

```
3
Lattice="0.0000 3.8004 3.8004 3.8004 0.0000 3.8004 3.8004 3.8004 0.0000" Properties=species:S:1:pos:R:3 pbc="T T T"
Na 0.0000 0.0000 0.0000
Sr 1.9002 1.9002 1.9002
Zn 3.8004 3.8004 3.8004
```


First-principles (PBE-GGA) data for crystalline Na2Sr2Zn3 at its relaxed geometry, as listed in OQMD via LeMat-Bulk.

Properties
As for the crystal system: trigonal. Its density is 3.41 g/cm³. Its space group is R3m. As for the total energy: -9.804 eV for the cell shown.

```
7
Lattice="2.6406 1.5245 8.4201 -2.6406 1.5245 8.4201 0.0000 -3.0490 8.4201" Properties=species:S:1:pos:R:3 pbc="T T T"
Na 0.0000 0.0000 0.0000
Na 0.0000 0.0000 12.5518
Sr 0.0000 0.0000 6.1158
Sr 0.0000 0.0000 18.9665
Zn 0.0000 0.0000 9.2983
Zn 0.0000 0.0000 15.7217
Zn 0.0000 0.0000 22.2184
```


First-principles (PBE-GGA) data for crystalline Na2Sr2Zr at its relaxed geometry, as listed in OQMD via LeMat-Bulk.

Properties
As for the crystal system: tetragonal. Its density is 2.71 g/cm³. Its space group is I4_1/amd. As for the total energy: -23.481 eV for the cell shown. For the size of the total moment, the calculation gives 0.67 μB per atom.

```
10
Lattice="-3.2500 3.2500 9.0608 3.2500 -3.2500 9.0608 3.2500 3.2500 -9.0608" Properties=species:S:1:pos:R:3 pbc="T T T"
Na 0.0000 0.0000 0.0000
Na 1.6250 1.6250 -4.5304
Na 1.6250 -1.6250 4.5304
Na 0.0000 3.2500 0.0000
Sr 3.2500 1.6250 -1.2786
Sr 0.0000 1.6250 3.2518
Sr 3.2500 1.6250 5.8090
Sr 0.0000 1.6250 10.3394
Zr 3.2500 1.6250 2.2652
Zr 0.0000 1.6250 6.7956
```


First-principles (PBE-GGA) data for crystalline NaTa at its relaxed geometry, as listed in OQMD via LeMat-Bulk.

Properties
As for the crystal system: cubic. Its density is 4.18 g/cm³. Its space group is F-43m. The relative energy among the computed polymorphs is 2.678 eV per atom. For the size of the total moment, the calculation gives 2.00 μB per atom.

```
2
Lattice="0.0000 3.4354 3.4354 3.4354 0.0000 3.4354 3.4354 3.4354 0.0000" Properties=species:S:1:pos:R:3 pbc="T T T"
Na 0.0000 0.0000 0.0000
Ta 5.1532 5.1532 5.1532
```


Question: Which value of density does entry 5 give?
Answer: 2.71 g/cm³


Repeat the fourth record exactly.
First-principles (PBE-GGA) data for crystalline Na2Sr2Zn3 at its relaxed geometry, as listed in OQMD via LeMat-Bulk.

Properties
As for the crystal system: trigonal. Its density is 3.41 g/cm³. Its space group is R3m. As for the total energy: -9.804 eV for the cell shown.

```
7
Lattice="2.6406 1.5245 8.4201 -2.6406 1.5245 8.4201 0.0000 -3.0490 8.4201" Properties=species:S:1:pos:R:3 pbc="T T T"
Na 0.0000 0.0000 0.0000
Na 0.0000 0.0000 12.5518
Sr 0.0000 0.0000 6.1158
Sr 0.0000 0.0000 18.9665
Zn 0.0000 0.0000 9.2983
Zn 0.0000 0.0000 15.7217
Zn 0.0000 0.0000 22.2184
```